An optimized crystal structure of Li3Ag6Sn, computed with PBE.

## Properties
- distance to the lowest polymorph of the same formula (eV/atom) = 0.0345
- mass density (g cm⁻³) = 6.82
- energy of formation from the pure elements (eV per atom) = -0.043
- volume (Å³ per atom) = 19.2
- space-group type = P2_1/c (14)

Cell lengths 4.757, 7.851, 10.800 Å; angles 90.00, 108.15, 90.00 degrees
Sites, in units of the cell vectors:
Ag: 0.557 0.857 0.594
Li: 0.805 0.930 0.226
Ag: 0.879 0.696 0.820
Ag: 0.035 0.320 0.554
Ag: 0.465 0.820 0.946
Li: 0.500 0.500 0.000
Ag: 0.535 0.180 0.054
Li: 0.305 0.570 0.726
Ag: 0.057 0.643 0.094
Ag: 0.965 0.680 0.446
Ag: 0.443 0.143 0.406
Ag: 0.621 0.196 0.680
Ag: 0.943 0.357 0.906
Ag: 0.121 0.304 0.180
Li: 0.195 0.070 0.774
Li: 0.695 0.430 0.274
Ag: 0.379 0.804 0.320
Sn: 0.000 0.000 0.000
Li: 0.000 0.000 0.500
Sn: 0.500 0.500 0.500